# 1
Ho3ZnAg2 | the Alexandria database | PBE | optimized geometry; VASP energy = -3.782 eV/atom; energy relative to the elements = -31.9 kJ per mole of atoms; space-group type = P-3m1, No. 164
1.0
5.097 0.000 0.000
-2.548 4.414 0.000
0.000 0.000 12.428
Ho Zn Ag
6 2 4
Direct
0.000 0.000 0.248 Ho
0.000 0.000 0.752 Ho
0.333 0.667 0.415 Ho
0.333 0.667 0.918 Ho
0.667 0.333 0.082 Ho
0.667 0.333 0.585 Ho
0.333 0.667 0.168 Zn
0.667 0.333 0.832 Zn
0.000 0.000 0.000 Ag
0.000 0.000 0.500 Ag
0.333 0.667 0.671 Ag
0.667 0.333 0.329 Ag



# 2
Ho2Zn5Ag | the Alexandria database | PBE | optimized geometry; VASP energy = -2.595 eV/atom; energy relative to the elements = -28.7 kJ per mole of atoms; space-group type = Cmcm, No. 63
1.0
2.131 -8.085 0.000
2.131 8.085 0.000
0.000 0.000 8.959
Ho Zn Ag
4 10 2
Direct
0.000 0.000 0.000 Ho
0.000 0.000 0.500 Ho
0.196 0.804 0.750 Ho
0.804 0.196 0.250 Ho
0.190 0.810 0.106 Zn
0.190 0.810 0.394 Zn
0.350 0.650 0.022 Zn
0.350 0.650 0.478 Zn
0.391 0.609 0.750 Zn
0.609 0.391 0.250 Zn
0.650 0.350 0.522 Zn
0.650 0.350 0.978 Zn
0.810 0.190 0.606 Zn
0.810 0.190 0.894 Zn
0.451 0.549 0.250 Ag
0.549 0.451 0.750 Ag



# 3
Ho2Zn3Ag | the Alexandria database | PBE | optimized geometry; VASP energy = -2.988 eV/atom; energy relative to the elements = -33.7 kJ per mole of atoms; space-group type = Fmmm, No. 69
1.0
0.000 4.526 7.885
3.448 0.000 7.885
3.448 4.526 0.000
Ho Zn Ag
4 6 2
Direct
0.247 0.753 0.753 Ho
0.250 0.250 0.250 Ho
0.750 0.750 0.750 Ho
0.753 0.247 0.247 Ho
0.173 0.664 0.336 Zn
0.336 0.827 0.173 Zn
0.337 0.337 0.663 Zn
0.663 0.663 0.337 Zn
0.664 0.173 0.827 Zn
0.827 0.336 0.664 Zn
0.167 0.167 0.833 Ag
0.833 0.833 0.167 Ag



# 4
HoZnAg | the Alexandria database | PBE | optimized geometry; VASP energy = -3.218 eV/atom; energy relative to the elements = -30.6 kJ per mole of atoms; space-group type = P-6m2, No. 187
1.0
4.634 0.000 0.000
-2.317 4.013 0.000
0.000 0.000 3.365
Ho Zn Ag
1 1 1
Direct
0.000 0.000 0.000 Ho
0.667 0.333 0.500 Zn
0.333 0.667 0.500 Ag



# 5
Ho4ZnAg | the Alexandria database | PBE | optimized geometry; VASP energy = -3.718 eV/atom; energy relative to the elements = 2.1 kJ per mole of atoms; space-group type = P4/mmm, No. 123
1.0
4.935 0.000 0.000
0.000 4.935 0.000
0.000 0.000 7.074
Ho Zn Ag
4 1 1
Direct
0.000 0.500 0.245 Ho
0.000 0.500 0.755 Ho
0.500 0.000 0.245 Ho
0.500 0.000 0.755 Ho
0.000 0.000 0.000 Zn
0.500 0.500 0.500 Ag



# 6
HoZn4Ag6 | the Alexandria database | PBE | optimized geometry; VASP energy = -2.385 eV/atom; energy relative to the elements = 4.8 kJ per mole of atoms; space-group type = I-42m, No. 121
1.0
-3.318 3.318 4.919
3.318 -3.318 4.919
3.318 3.318 -4.919
Ho Zn Ag
1 4 6
Direct
0.000 0.000 0.000 Ho
0.261 0.576 0.000 Zn
0.424 0.424 0.684 Zn
0.576 0.261 0.000 Zn
0.739 0.739 0.316 Zn
0.000 0.500 0.500 Ag
0.097 0.097 0.585 Ag
0.489 0.903 0.000 Ag
0.500 0.000 0.500 Ag
0.511 0.511 0.415 Ag
0.903 0.489 0.000 Ag



# 7
HoZn3Ag | the Alexandria database | PBE | optimized geometry; VASP energy = -2.491 eV/atom; energy relative to the elements = -23.3 kJ per mole of atoms; space-group type = P2_1/m, No. 11
1.0
5.392 0.000 0.000
0.000 5.405 0.000
-0.064 0.000 6.272
Ho Zn Ag
2 6 2
Direct
0.148 0.250 0.160 Ho
0.852 0.750 0.840 Ho
0.355 0.009 0.680 Zn
0.355 0.491 0.680 Zn
0.360 0.750 0.037 Zn
0.640 0.250 0.963 Zn
0.645 0.509 0.320 Zn
0.645 0.991 0.320 Zn
0.084 0.750 0.387 Ag
0.916 0.250 0.613 Ag



# 8
Ho3Zn3Ag | the Alexandria database | PBE | optimized geometry; VASP energy = -3.212 eV/atom; energy relative to the elements = -28.6 kJ per mole of atoms; space-group type = Imm2, No. 44
1.0
-1.782 2.246 9.702
1.782 -2.246 9.702
1.782 2.246 -9.702
Ho Zn Ag
3 3 1
Direct
0.000 0.000 0.000 Ho
0.390 0.390 0.000 Ho
0.692 0.192 0.500 Ho
0.125 0.625 0.500 Zn
0.554 0.554 0.000 Zn
0.838 0.838 0.000 Zn
0.260 0.760 0.500 Ag



# 9
HoZn2Ag4 | the Alexandria database | PBE | optimized geometry; VASP energy = -2.825 eV/atom; energy relative to the elements = -17.1 kJ per mole of atoms; space-group type = C2/m, No. 12
1.0
4.369 -3.455 0.000
4.369 3.455 0.000
-3.109 0.000 4.305
Ho Zn Ag
1 2 4
Direct
0.000 0.000 0.000 Ho
0.499 0.499 0.246 Zn
0.501 0.501 0.754 Zn
0.004 0.605 0.304 Ag
0.395 0.996 0.696 Ag
0.605 0.004 0.304 Ag
0.996 0.395 0.696 Ag



# 10
HoZrZnAg | the Alexandria database | PBE | optimized geometry; VASP energy = -4.471 eV/atom; energy relative to the elements = -15.3 kJ per mole of atoms; space-group type = F-43m, No. 216
1.0
0.000 3.496 3.496
3.496 0.000 3.496
3.496 3.496 0.000
Ho Zr Zn Ag
1 1 1 1
Direct
0.000 0.000 0.000 Ho
0.500 0.500 0.500 Zr
0.750 0.750 0.750 Zn
0.250 0.250 0.250 Ag



# 11
Ho2ZrAg6 | the Alexandria database | PBE | optimized geometry; VASP energy = -3.981 eV/atom; energy relative to the elements = -10.9 kJ per mole of atoms; space-group type = C2/c, No. 15
1.0
6.898 -5.404 0.000
6.898 5.404 0.000
-0.933 0.000 5.118
Ho Zr Ag
4 2 12
Direct
0.042 0.291 0.085 Ho
0.291 0.042 0.585 Ho
0.709 0.958 0.415 Ho
0.958 0.709 0.915 Ho
0.378 0.622 0.750 Zr
0.622 0.378 0.250 Zr
0.077 0.809 0.473 Ag
0.158 0.408 0.641 Ag
0.191 0.923 0.027 Ag
0.270 0.514 0.196 Ag
0.408 0.158 0.141 Ag
0.486 0.730 0.304 Ag
0.514 0.270 0.696 Ag
0.592 0.842 0.859 Ag
0.730 0.486 0.804 Ag
0.809 0.077 0.973 Ag
0.842 0.592 0.359 Ag
0.923 0.191 0.527 Ag



# 12
HoZr2Ag | the Alexandria database | PBE | optimized geometry; VASP energy = -5.812 eV/atom; energy relative to the elements = 30.8 kJ per mole of atoms; space-group type = R-3m, No. 166
1.0
1.559 0.900 11.313
-1.559 0.900 11.313
0.000 -1.800 11.313
Ho Zr Ag
1 2 1
Direct
0.000 0.000 0.000 Ho
0.094 0.094 0.094 Zr
0.906 0.906 0.906 Zr
0.500 0.500 0.500 Ag



# 13
Ho3ZrAg2 | the Alexandria database | PBE | optimized geometry; VASP energy = -4.843 eV/atom; energy relative to the elements = -17.3 kJ per mole of atoms; space-group type = P4/mmm, No. 123
1.0
3.530 0.000 0.000
0.000 3.530 0.000
0.000 0.000 11.919
Ho Zr Ag
3 1 2
Direct
0.000 0.000 0.000 Ho
0.000 0.000 0.314 Ho
0.000 0.000 0.686 Ho
0.500 0.500 0.500 Zr
0.500 0.500 0.156 Ag
0.500 0.500 0.844 Ag



# 14
HoZrAg4 | the Alexandria database | PBE | optimized geometry; VASP energy = -4.263 eV/atom; energy relative to the elements = -16.8 kJ per mole of atoms; space-group type = P4/mmm, No. 123
1.0
3.637 0.000 0.000
0.000 3.637 0.000
0.000 0.000 9.213
Ho Zr Ag
1 1 4
Direct
0.000 0.000 0.000 Ho
0.500 0.500 0.500 Zr
0.000 0.000 0.335 Ag
0.000 0.000 0.665 Ag
0.500 0.500 0.176 Ag
0.500 0.500 0.824 Ag



# 15
Ag2I5 | the Alexandria database | PBE | optimized geometry; uncorrected formation energy = -0.011 eV/atom; VASP energy = -1.933 eV/atom; space-group type = I4/m, No. 87
1.0
-4.138 4.138 3.943
4.138 -4.138 3.943
4.138 4.138 -3.943
Ag I
2 5
Direct
0.250 0.750 0.500 Ag
0.750 0.250 0.500 Ag
0.000 0.000 0.000 I
0.193 0.661 0.854 I
0.339 0.193 0.532 I
0.661 0.807 0.468 I
0.807 0.339 0.146 I



# 16
Ag5I6 | the Alexandria database | PBE | optimized geometry; uncorrected formation energy = -0.162 eV/atom; VASP energy = -2.303 eV/atom; space-group type = C2/m, No. 12
1.0
3.708 -6.547 0.000
3.708 6.547 0.000
-2.307 0.000 7.046
Ag I
5 6
Direct
0.000 0.000 0.000 Ag
0.165 0.835 0.500 Ag
0.332 0.668 0.000 Ag
0.668 0.332 0.000 Ag
0.835 0.165 0.500 Ag
0.075 0.419 0.252 I
0.243 0.243 0.762 I
0.419 0.075 0.252 I
0.581 0.925 0.748 I
0.757 0.757 0.238 I
0.925 0.581 0.748 I



# 17
AgI3 | the Alexandria database | PBE | optimized geometry; uncorrected formation energy = 0.004 eV/atom; VASP energy = -1.872 eV/atom; space-group type = Immm, No. 71
1.0
-2.089 4.471 4.537
2.089 -4.471 4.537
2.089 4.471 -4.537
Ag I
1 3
Direct
0.000 0.000 0.000 Ag
0.202 0.702 0.500 I
0.500 0.500 0.000 I
0.798 0.298 0.500 I



# 18
AgI3 | the Alexandria database | PBE | optimized geometry; uncorrected formation energy = -0.085 eV/atom; VASP energy = -1.960 eV/atom; space-group type = C2/m, No. 12
1.0
4.056 -2.232 0.000
4.056 2.232 0.000
-0.774 0.000 8.695
Ag I
1 3
Direct
0.000 0.000 0.000 Ag
0.351 0.351 0.179 I
0.500 0.500 0.500 I
0.649 0.649 0.821 I



# 19
AgI3 | the Alexandria database | PBE | optimized geometry; uncorrected formation energy = 0.440 eV/atom; VASP energy = -1.435 eV/atom; space-group type = Fm-3m, No. 225
1.0
0.000 4.020 4.020
4.020 0.000 4.020
4.020 4.020 0.000
Ag I
1 3
Direct
0.000 0.000 0.000 Ag
0.250 0.250 0.250 I
0.500 0.500 0.500 I
0.750 0.750 0.750 I



# 20
AgI3 | the Alexandria database | PBE | optimized geometry; uncorrected formation energy = 0.031 eV/atom; VASP energy = -1.844 eV/atom; space-group type = Pmm2, No. 25
1.0
4.902 0.000 0.000
0.000 5.427 0.000
0.000 0.000 7.625
Ag I
1 3
Direct
0.000 0.000 0.000 Ag
0.000 0.500 0.893 I
0.500 0.000 0.266 I
0.500 0.500 0.388 I



# 21
AgI3 | the Alexandria database | PBE | optimized geometry; uncorrected formation energy = 0.152 eV/atom; VASP energy = -1.723 eV/atom; space-group type = I-42d, No. 122
1.0
-4.341 4.341 3.796
4.341 -4.341 3.796
4.341 4.341 -3.796
Ag I
2 6
Direct
0.000 0.000 0.000 Ag
0.750 0.250 0.500 Ag
0.053 0.125 0.428 I
0.250 0.750 0.500 I
0.375 0.947 0.072 I
0.500 0.500 0.000 I
0.697 0.625 0.572 I
0.875 0.303 0.928 I



# 22
Ag4I | the Alexandria database | PBE | optimized geometry; uncorrected formation energy = 0.877 eV/atom; VASP energy = -1.714 eV/atom; space-group type = Pm-3m, No. 221
1.0
5.489 0.000 0.000
0.000 5.489 0.000
0.000 0.000 5.489
Ag I
4 1
Direct
0.000 0.000 0.000 Ag
0.000 0.500 0.500 Ag
0.500 0.000 0.500 Ag
0.500 0.500 0.000 Ag
0.500 0.500 0.500 I



# 23
InAg3I6 | the Alexandria database | PBE | optimized geometry; uncorrected formation energy = -0.338 eV/atom; VASP energy = -2.397 eV/atom; space-group type = P2_1, No. 4
1.0
8.746 0.000 0.000
0.000 7.764 0.000
-4.274 0.000 12.806
In Ag I
2 6 12
Direct
0.210 0.000 0.290 In
0.790 0.500 0.710 In
0.244 0.740 0.787 Ag
0.288 0.340 0.714 Ag
0.448 0.705 0.103 Ag
0.552 0.205 0.897 Ag
0.712 0.840 0.286 Ag
0.756 0.240 0.213 Ag
0.046 0.820 0.404 I
0.088 0.332 0.272 I
0.149 0.865 0.092 I
0.331 0.467 0.927 I
0.417 0.990 0.723 I
0.466 0.502 0.592 I
0.534 0.002 0.408 I
0.583 0.490 0.277 I
0.669 0.967 0.073 I
0.851 0.365 0.908 I
0.912 0.832 0.728 I
0.954 0.320 0.596 I



# 24
InAgI3 | the Alexandria database | PBE | optimized geometry; uncorrected formation energy = -0.292 eV/atom; VASP energy = -2.340 eV/atom; space-group type = Cc, No. 9
1.0
6.881 -3.980 0.000
6.881 3.980 0.000
-4.503 0.000 8.280
In Ag I
2 2 6
Direct
0.249 0.751 0.500 In
0.751 0.249 0.000 In
0.366 0.865 0.840 Ag
0.865 0.366 0.340 Ag
0.025 0.222 0.854 I
0.222 0.025 0.354 I
0.364 0.522 0.852 I
0.522 0.364 0.352 I
0.725 0.860 0.854 I
0.860 0.725 0.354 I